[1]
4
Lattice="2.118 1.223 4.705 -2.118 1.223 4.705 0.000 -2.446 4.705" Properties=species:S:1:pos:R:3 comment="LuGa2Os | Alexandria via LeMat-Bulk | PBE | relaxed" formation_enthalpy_0k_ev_per_atom=-0.33 de_polymorph_ev_per_fu=0.00 pbc="T T T"
Lu 0.000 0.000 0.000
Ga 0.000 0.000 3.105
Ga 0.000 0.000 11.010
Os 0.000 0.000 7.057

=====

[2]
5
Lattice="5.301 0.000 0.000 0.000 5.301 0.000 0.000 0.000 6.257" Properties=species:S:1:pos:R:3 comment="LaCdBPt2 | Alexandria via LeMat-Bulk | PBE | relaxed" formation_enthalpy_0k_ev_per_atom=1.58 pbc="T T T"
La 0.000 0.000 0.000
Cd 0.000 0.000 3.129
B 2.650 2.650 3.129
Pt 0.000 2.650 0.000
Pt 2.650 0.000 0.000

=====

[3]
10
Lattice="3.815 0.000 0.000 0.000 3.815 0.000 0.000 0.000 7.832" Properties=species:S:1:pos:R:3 comment="EuB2C2 | Alexandria via LeMat-Bulk | PBE | relaxed" formation_enthalpy_0k_ev_per_atom=-0.22 pbc="T T T"
Eu 0.000 0.000 1.958
Eu 0.000 0.000 5.874
B 0.836 1.907 0.000
B 1.907 0.836 3.916
B 1.907 2.979 3.916
B 2.979 1.907 0.000
C 0.705 1.907 3.916
C 1.907 0.705 0.000
C 1.907 3.110 0.000
C 3.110 1.907 3.916

=====

[4]
10
Lattice="3.172 -14.085 0.000 3.172 14.085 0.000 0.000 0.000 3.433" Properties=species:S:1:pos:R:3 comment="Y2Tm7Sc | Alexandria via LeMat-Bulk | PBE | relaxed" formation_enthalpy_0k_ev_per_atom=0.17 pbc="T T T"
Y 3.172 8.205 0.000
Y 3.172 -8.205 0.000
Tm 0.000 0.000 0.000
Tm 1.619 2.713 0.000
Tm 3.172 5.180 1.716
Tm 1.619 -2.713 0.000
Tm 4.725 2.713 0.000
Tm 3.172 -5.180 1.716
Tm 4.725 -2.713 0.000
Sc 3.172 0.000 1.716

=====

[5]
5
Lattice="4.643 0.000 0.000 0.000 4.643 0.000 0.000 0.000 4.643" Properties=species:S:1:pos:R:3 comment="MgTcRu3 | Alexandria via LeMat-Bulk | PBE | relaxed" formation_enthalpy_0k_ev_per_atom=1.27 de_polymorph_ev_per_fu=0.00 pbc="T T T"
Mg 0.000 0.000 0.000
Tc 2.322 2.322 2.322
Ru 0.000 2.322 2.322
Ru 2.322 0.000 2.322
Ru 2.322 2.322 0.000

=====

[6]
4
Lattice="2.071 1.195 11.419 -2.071 1.195 11.419 0.000 -2.391 11.419" Properties=species:S:1:pos:R:3 comment="RbPm2Ni | Alexandria via LeMat-Bulk | PBE | relaxed" formation_enthalpy_0k_ev_per_atom=0.05 pbc="T T T"
Rb 0.000 0.000 0.000
Pm 0.000 0.000 4.310
Pm 0.000 0.000 29.947
Ni 0.000 0.000 17.128

=====

Which formula does entry 2 have?
LaCdBPt2